1.
Compound: Be2InBr
Source: the Alexandria database
Functional: PBE
Structure: optimized geometry

```
Be2InBr
1.0
3.6095 -0.0696 0.0000
-2.1069 2.9315 0.0000
0.0000 0.0000 7.6408
Be Br In
2 1 1
Cartesian
0.0000 0.0000 0.0637
0.0000 0.0000 3.7567
0.7513 1.4310 1.9102
0.7513 1.4310 5.7306
```

Output
E above lowest polymorph	329	meV/atom
space group	Cmmm, No. 65
uncorrected formation energy	0.583	eV/atom
theoretical density	4.4	g cm⁻³



2.
Compound: Pm3Si3Pd2
Source: the Alexandria database
Functional: PBE
Structure: optimized geometry

```
Pm3Si3Pd2
1.0
-1.9668 1.6086 -3.5180
-3.7614 -1.6478 4.0260
0.4268 13.2909 5.8385
Pm Si Pd
6 6 4
Cartesian
-4.7088 5.2860 2.3729
-0.4738 11.6673 5.5996
-4.8277 1.5844 0.7469
-0.5926 7.9657 3.9735
-2.1220 3.9056 0.2956
-3.1795 9.3461 6.0509
-1.7815 6.7539 1.4075
-3.3399 12.1052 7.4022
-1.9615 1.1465 -1.0557
-3.5200 6.4979 4.9390
-3.0452 2.7624 2.9656
-2.2562 10.4893 3.3809
-3.4114 12.3618 4.8829
-1.7558 5.0695 3.2996
-3.5457 8.1822 3.0469
-1.8900 0.8899 1.4635
```

Output
space group	Cmcm, No. 63
uncorrected formation energy	-0.888	eV/atom
theoretical density	7.2	g cm⁻³



3.
Compound: HgBPd4
Source: the Alexandria database
Functional: PBE
Structure: optimized geometry

```
HgBPd4
1.0
4.7498 -0.0039 1.7073
-0.6379 5.4667 1.7859
-0.0361 1.6075 7.5818
Hg B Pd
2 2 8
Cartesian
4.0808 2.9708 9.5639
-0.0050 4.0995 1.5112
2.0379 3.5351 5.5375
-0.0181 0.8038 3.7909
1.8570 4.4203 3.6636
2.7638 5.3873 8.6215
2.2188 2.6500 7.4115
1.3120 1.6829 2.4535
3.7744 4.7132 5.8857
0.9008 5.0881 6.4175
0.3014 2.3570 5.1894
3.1750 1.9822 4.6576
```

Output
E above lowest polymorph	0	meV/atom
space group	P-1, No. 2
theoretical density	11.6	g cm⁻³
E_form	-1.4	eV per formula unit



4.
Compound: HgPbF
Source: the Alexandria database
Functional: PBE
Structure: optimized geometry

```
HgPbF
1.0
4.4356 0.0000 0.0000
-2.2178 3.8413 0.0000
0.0000 0.0000 4.2654
Pb Hg F
1 1 1
Cartesian
2.2178 1.2804 2.1332
0.0000 0.0000 0.0003
0.0000 2.5609 2.1319
```

Output
E above lowest polymorph	0	meV/atom
space group	P-6m2, No. 187
uncorrected formation energy	-0.942	eV/atom
theoretical density	9.8	g cm⁻³



5.
Compound: Nd2Ga4Ni3Ag
Source: the Alexandria database
Functional: PBE
Structure: optimized geometry

```
Nd2Ga4Ni3Ag
1.0
-0.1168 -3.4329 -2.3516
0.0114 -2.3527 3.4340
-10.4143 0.2251 0.1888
Nd Ga Ni Ag
2 4 3 1
Cartesian
-2.5129 -1.6634 -1.1313
-7.9540 -1.0043 1.8613
-0.0527 -2.8928 0.5412
0.0000 0.0000 0.0000
-6.7682 -1.5714 -1.0541
-3.6988 -1.0963 1.7842
-5.2071 0.1125 0.0944
-9.1606 -1.5197 -1.0108
-1.3064 -1.1480 1.7408
-5.2598 -2.7803 0.6356
```

Output
space group	P-4m2, No. 115
theoretical density	7.8	g cm⁻³
E_form	-5.0	eV per formula unit



6.
Compound: CaLa8Tb4
Source: the Alexandria database
Functional: PBE
Structure: optimized geometry

```
CaLa8Tb4
1.0
6.4329 -0.0005 -3.4705
-4.1525 6.0154 -0.0005
1.6615 1.1478 10.7767
Ca La Tb
1 8 4
Cartesian
-1.2455 3.5816 5.3881
1.0452 5.1627 1.9369
2.8967 2.0000 5.3688
2.5858 1.7851 1.3601
6.5257 2.0446 4.3982
1.3561 5.3776 5.9456
4.2248 5.3774 4.3979
-0.2829 1.7853 2.9078
-2.5837 5.1181 2.9076
0.0000 0.0000 0.0000
-2.0763 3.0077 -0.0002
1.1402 3.0074 -1.7355
3.2165 -0.0002 -1.7353
```

Output
space group	R-3m, No. 166
theoretical density	6.3	g cm⁻³
E_form	2.6	eV per formula unit



7.
Compound: ThGa2PdPt5
Source: the Alexandria database
Functional: PBE
Structure: optimized geometry

```
ThGa2PdPt5
1.0
4.0857 0.0000 0.0000
0.0000 4.0857 0.0000
0.0000 0.0000 9.8040
Th Ga Pd Pt
1 2 1 5
Cartesian
0.0000 0.0000 4.9020
2.0428 2.0428 1.2035
2.0428 2.0428 8.6005
0.0000 0.0000 0.0000
0.0000 2.0428 2.6843
2.0428 0.0000 2.6843
0.0000 2.0428 7.1196
2.0428 0.0000 7.1196
2.0428 2.0428 4.9020
```

Output
space group	P4/mmm, No. 123
theoretical density	14.7	g cm⁻³
E_form	-5.9	eV per formula unit



8.
Compound: Rb3AuI6
Source: the Alexandria database
Functional: PBE
Structure: optimized geometry

```
Rb3AuI6
1.0
-2.8475 3.8996 2.4007
-8.9305 -0.1089 -10.4155
-3.8440 -8.8257 9.7765
Rb Au I
6 2 12
Cartesian
-12.8587 -3.9752 -0.9392
-10.4423 -7.6259 1.8007
-6.3526 -4.6722 1.8531
-8.6913 -1.1544 -0.5787
-2.1856 -1.8510 2.2137
-4.6019 1.7997 -0.5261
-5.3340 -6.4178 5.8970
-9.7101 0.5914 -4.6225
-9.2379 -4.6927 -1.5360
-9.9211 -4.0121 2.6044
-7.5542 -7.8817 5.6407
-11.8563 -0.9994 -4.5850
-4.6454 -7.5981 8.6334
-6.9612 -4.1194 6.2906
-8.0832 -1.7065 -5.0158
-10.3999 1.7733 -7.3580
-3.1874 -4.8275 5.8592
-7.4895 2.0548 -4.3666
-5.1228 -1.8146 -1.3301
-5.8060 -1.1339 2.8103
```

Output
E above lowest polymorph	0	meV/atom
space group	Cmcm, No. 63
uncorrected formation energy	-0.829	eV/atom
theoretical density	4.2	g cm⁻³